MnMoF4 after structural relaxation. Source: Alexandria, functional PBE with a Hubbard U.

Cell lengths 8.139, 3.522, 6.086 Å; angles 90.00, 104.89, 90.00 degrees
Space group C2/m (No. 12)
Inequivalent atoms, fractional coordinates:
Mn1 0.000 0.000 0.000 (multiplicity 2)
Mo1 0.000 0.500 0.500 (multiplicity 2)
F1 0.115 0.500 0.880 (multiplicity 4)
F2 0.118 0.000 0.362 (multiplicity 4)

Results
**Total magnetic moment**: 14.00 Bohr magnetons per cell
**Final energy**: -69.4 eV per cell
**V**: 14.050 Å³/atom